Entry 1:
First-principles (PBE-GGA) data for a relaxed RbZnBr3 crystal, as listed in Alexandria.

Calculated values
**Total magnetization**: 0.00 μB per formula unit
**Uncorrected formation energy**: -1131 meV per atom
**Space-group type**: Pm-3m (221)

Lattice parameters (Å, degrees): 5.3188 5.3188 5.3188 90.00 90.00 90.00
With the nearest neighbours (Å) after each atom.
Positions (direct):
Rb 0.0000 0.0000 0.0000  12 Br 3.76
Zn 0.5000 0.5000 0.5000  6 Br 2.66
Br 0.0000 0.5000 0.5000  2 Zn 2.66
Br 0.5000 0.0000 0.5000  2 Zn 2.66
Br 0.5000 0.5000 0.0000  2 Zn 2.66

---

Entry 2:
First-principles (PBE-GGA) data for a relaxed Rb2ZnBr crystal, as listed in Alexandria.

Calculated values
**Distance to the lowest polymorph of the same formula**: 0.0 meV/atom
**Total magnetization**: 0.00 μB per formula unit
**Uncorrected formation energy**: -688 meV per atom
**Space-group type**: P4/mmm (123)

Lattice parameters (Å, degrees): 4.2676 4.2676 8.8083 90.00 90.00 90.00
With the nearest neighbours (Å) after each atom.
Positions (direct):
Rb 0.0000 0.0000 0.2304  4 Br 3.64, 4 Zn 3.84, 1 Rb 4.06
Rb 0.0000 0.0000 0.7696  4 Br 3.64, 4 Zn 3.84, 1 Rb 4.06
Zn 0.5000 0.5000 0.5000  8 Rb 3.84, 4 Zn 4.27
Br 0.5000 0.5000 0.0000  8 Rb 3.64

---

Entry 3:
First-principles (PBE-GGA) data for a relaxed RbZnBr3 crystal, as listed in Alexandria.

Calculated values
**Total magnetization**: 0.00 μB per formula unit
**Uncorrected formation energy**: -1142 meV per atom
**Space-group type**: I4/mmm (139)

Lattice parameters (Å, degrees): 7.6763 7.6763 7.6763 120.16 120.16 89.73
With the nearest neighbours (Å) after each atom.
Positions (direct):
Rb 0.2500 0.7500 0.5000  12 Br 3.84
Rb 0.7500 0.2500 0.5000  12 Br 3.84
Zn 0.0000 0.0000 0.0000  2 Br 2.39
Zn 0.5000 0.5000 0.0000  4 Br 2.54
Br 0.2199 0.2199 0.0000  1 Zn 2.39
Br 0.2654 0.2654 0.5309  1 Zn 2.54
Br 0.2654 0.7346 0.0000  1 Zn 2.54
Br 0.7346 0.2654 0.0000  1 Zn 2.54
Br 0.7346 0.7346 0.4691  1 Zn 2.54
Br 0.7801 0.7801 0.0000  1 Zn 2.39